First-principles (PBE) data for a geometry-optimized CdCoB2 structure, as listed in Alexandria via LeMat-Bulk.

Values from the calculation:
ΔH_f (0 K) ... 38.31 kJ/mol of atoms
Space-group type ... I4_1/amd, No. 141

Geometry as POSCAR:
```
CdCoB2
1.0
-1.775 3.243 -0.142
-3.141 -1.675 1.007
-0.906 1.928 7.175
B Co Cd
4 2 2
Cartesian
-1.285 1.489 1.866
-2.855 0.651 2.370
-3.308 1.615 5.957
-4.196 3.236 5.887
-2.458 0.784 0.433
-3.252 0.518 4.307
0.000 0.000 0.000
-2.569 2.977 3.733
```

=====

First-principles (PBE) data for a geometry-optimized CdCo2B structure, as listed in Alexandria via LeMat-Bulk.

Values from the calculation:
ΔH_f (0 K) ... 62.51 kJ/mol of atoms
Space-group type ... I-42d, No. 122

Geometry as POSCAR:
```
CdCo2B
1.0
4.318 0.000 0.000
0.000 4.318 0.000
2.159 2.159 6.462
B Co Cd
2 4 2
Cartesian
2.159 2.159 0.000
2.159 4.318 3.231
2.424 1.079 1.616
1.893 3.238 1.616
3.238 4.052 4.847
5.397 4.583 4.847
0.000 0.000 0.000
4.318 2.159 3.231
```

=====

First-principles (PBE) data for a geometry-optimized Cd2CoBI structure, as listed in Alexandria via LeMat-Bulk.

Values from the calculation:
Space-group type ... P4/mmm, No. 123
Energy relative to the elements, uncorrected ... 1924 meV per atom

Geometry as POSCAR:
```
Cd2CoBI
1.0
-1.752 5.553 0.377
0.068 -0.286 4.535
5.565 1.754 0.027
I B Co Cd
1 1 1 2
Cartesian
0.000 0.000 0.000
0.034 -0.143 2.267
1.941 3.510 2.469
2.783 0.877 0.014
-0.876 2.777 0.188
```

=====

First-principles (PBE) data for a geometry-optimized Cd2InCoB structure, as listed in Alexandria via LeMat-Bulk.

Values from the calculation:
ΔH_f (0 K) ... 166.81 kJ/mol of atoms
Space-group type ... P4/mmm, No. 123

Geometry as POSCAR:
```
Cd2InCoB
1.0
5.222 0.000 0.000
0.000 4.835 0.000
0.000 0.000 5.222
B Cd Co In
1 2 1 1
Cartesian
2.611 2.418 2.611
0.000 0.000 2.611
2.611 0.000 0.000
0.000 2.418 0.000
0.000 0.000 0.000
```

=====

First-principles (PBE) data for a geometry-optimized LiCdCoB2 structure, as listed in Alexandria via LeMat-Bulk.

Values from the calculation:
ΔH_f (0 K) ... 46.09 kJ/mol of atoms
Space-group type ... P4/mmm, No. 123

Geometry as POSCAR:
```
LiCdCoB2
1.0
-3.794 0.240 -0.343
-0.180 -4.662 -1.270
-0.394 -0.984 3.667
B Co Li Cd
2 1 1 1
Cartesian
-0.197 -0.492 1.834
-1.897 0.120 -0.172
0.000 0.000 0.000
-2.185 -2.703 1.027
-0.090 -2.331 -0.635
```

=====

First-principles (PBE) data for a geometry-optimized Nb2CdCoB structure, as listed in Alexandria via LeMat-Bulk.

Values from the calculation:
ΔH_f (0 K) ... 48.22 kJ/mol of atoms
Space-group type ... P4/mmm, No. 123

Geometry as POSCAR:
```
Nb2CdCoB
1.0
-3.832 -2.034 -0.408
1.880 -3.107 -2.170
0.744 -2.147 3.718
Nb B Co Cd
2 1 1 1
Cartesian
0.372 -1.073 1.859
-1.916 -1.017 -0.204
0.000 0.000 0.000
-0.604 -3.644 0.570
0.940 -1.553 -1.085
```

=====

We obtain size of the total moment values of 1.09, 3.40, 2.01, 1.34, 0.00, 0.00 μB/cell for the records listed above, in that order.